! PBE Pm2Zn3, optimized geometry; values from VASP
! M_tot	0.00	μB per formula unit
! N(E_F)	9.839	states/eV/cell
! calculated volume	22.8	A^3/atom
! space-group type	Cmcm (63)
! E_form	-0.3175	eV per atom
&SYSTEM
  ibrav = 0, nat = 10, ntyp = 2
/
ATOMIC_SPECIES
Pm 145.00 Pm.upf
Zn 65.41 Zn.upf
CELL_PARAMETERS angstrom
-3.4210 -0.7052 -0.9453
1.3588 -3.8566 -2.0403
-0.1332 -6.5526 12.2968
ATOMIC_POSITIONS angstrom
Pm -0.0566 -6.9214 5.3687
Pm -2.1388 -4.1930 3.9425
Pm -0.9543 -4.2297 -0.3169
Pm -1.2411 -6.8847 9.6281
Zn 0.3957 -5.2274 2.4679
Zn -2.5911 -5.8870 6.8432
Zn -2.1036 -8.5340 7.0536
Zn -0.0919 -2.5804 2.2576
Zn 0.2545 -1.2832 0.0363
Zn -2.4499 -9.8312 9.2749